# TlGaCoO3 | Alexandria via LeMat-Bulk | PBE with a Hubbard U | relaxed
# VASP energy: -32.361 eV/f.u.
# Volume: 13.45 A^3/atom
data_TlGaCoO3
_chemical_formula_sum 'Tl4 Ga4 Co4 O12'
_space_group_name_H-M_alt 'C m c m'
_space_group_IT_number 63
_space_group_name_Hall '-C 2c 2'
_cell_length_a 5.568
_cell_length_b 10.527
_cell_length_c 5.508
_cell_angle_alpha 90.00
_cell_angle_beta 90.00
_cell_angle_gamma 90.00
loop_
_atom_site_label
_atom_site_type_symbol
_atom_site_fract_x
_atom_site_fract_y
_atom_site_fract_z
Tl1 Tl 0.000 0.246 0.250
Ga1 Ga 0.000 0.437 0.750
Co1 Co 0.000 0.070 0.750
O1 O 0.000 0.260 0.750
O2 O 0.236 0.500 0.000